The following is a DFT calculation (PBE) of a relaxed structure of SbPH2.

Properties
The final energy comes out at -3.3605 eV per atom. The value obtained for the total magnetic moment is 0.000 μB per formula unit. As for the space group: R-3m (166). As for the energy above the most stable polymorph in this dataset: 271 meV/atom. As for the density of states at the Fermi level: 0.377 states/eV/atom.

Cell and atoms, written as extended XYZ:
```
4
Lattice="3.139 0.000 0.000 1.570 2.719 0.000 1.570 0.906 5.865" Properties=species:S:1:pos:R:3 pbc="T T T"
Sb 3.139 1.813 2.932
H 4.709 2.719 5.350
H 1.570 0.906 0.515
P 0.000 0.000 0.000
```